1.
# Sb4Ir (GGA-PBE, optimized geometry)
# * M_tot: 0.00 μB per cell
# * volume: 27.25 Å³ per atom
# * crystal system: cubic
# * Fermi-level density of states: 6.9 states/eV/cell
data_Sb4Ir
_chemical_formula_sum 'Sb8 Ir2'
_cell_length_a 6.483
_cell_length_b 6.483
_cell_length_c 6.483
_cell_angle_alpha 90.00
_cell_angle_beta 90.00
_cell_angle_gamma 90.00
_space_group_name_H-M_alt 'I m -3 m'
_space_group_IT_number 229
_space_group_name_Hall '-I 4 2 3'
loop_
_atom_site_label
_atom_site_fract_x
_atom_site_fract_y
_atom_site_fract_z
Sb1 0.250 0.250 0.250
Ir1 0.000 0.000 0.000

2.
# Sb4Ir (GGA-PBE, optimized geometry)
# * M_tot: 0.00 μB per cell
# * volume: 28.39 Å³ per atom
# * crystal system: cubic
# * Fermi-level density of states: 4.7 states/eV/cell
data_Sb4Ir
_chemical_formula_sum 'Sb4 Ir1'
_cell_length_a 5.216
_cell_length_b 5.216
_cell_length_c 5.216
_cell_angle_alpha 90.00
_cell_angle_beta 90.00
_cell_angle_gamma 90.00
_space_group_name_H-M_alt 'P m -3 m'
_space_group_IT_number 221
_space_group_name_Hall '-P 4 2 3'
loop_
_atom_site_label
_atom_site_fract_x
_atom_site_fract_y
_atom_site_fract_z
Sb1 0.000 0.000 0.000
Sb2 0.000 0.500 0.500
Ir1 0.500 0.500 0.500

What should be chosen as the most stable of them? Choose 1.

1.
# Sc4SbIr (GGA-PBE, optimized geometry)
# * M_tot: 0.00 μB per cell
# * volume: 21.38 Å³ per atom
# * crystal system: monoclinic
# * Fermi-level density of states: 10.9 states/eV/cell
data_Sc4SbIr
_chemical_formula_sum 'Sc8 Sb2 Ir2'
_cell_length_a 5.262
_cell_length_b 6.091
_cell_length_c 8.118
_cell_angle_alpha 90.00
_cell_angle_beta 99.55
_cell_angle_gamma 90.00
_space_group_name_H-M_alt 'P 1 21/m 1'
_space_group_IT_number 11
loop_
_space_group_symop_operation_xyz
'x,y,z'
'-x,-y,-z'
'-x,y+1/2,-z'
'x,-y+1/2,z'
loop_
_atom_site_label
_atom_site_fract_x
_atom_site_fract_y
_atom_site_fract_z
Sc1 0.147 0.250 0.054
Sc2 0.216 0.750 0.347
Sc3 0.318 0.510 0.746
Sb1 0.224 0.250 0.423
Ir1 0.360 0.750 0.040

2.
# Sc4SbIr (GGA-PBE, optimized geometry)
# * M_tot: 3.08 μB per cell
# * volume: 20.76 Å³ per atom
# * crystal system: cubic
# * Fermi-level density of states: 31.2 states/eV/cell
data_Sc4SbIr
_chemical_formula_sum 'Sc16 Sb4 Ir4'
_cell_length_a 7.928
_cell_length_b 7.928
_cell_length_c 7.928
_cell_angle_alpha 90.00
_cell_angle_beta 90.00
_cell_angle_gamma 90.00
_space_group_name_H-M_alt 'F -4 3 m'
_space_group_IT_number 216
_space_group_name_Hall 'F -4 2 3'
loop_
_atom_site_label
_atom_site_fract_x
_atom_site_fract_y
_atom_site_fract_z
Sc1 0.124 0.124 0.124
Sb1 0.000 0.000 0.500
Ir1 0.250 0.250 0.750

What should be chosen as the most stable of them? Choose 1.

1.
# Sc2Sb2Ir (GGA-PBE, optimized geometry)
# * M_tot: 0.00 μB per cell
# * volume: 23.70 Å³ per atom
# * crystal system: tetragonal
# * Fermi-level density of states: 15.2 states/eV/cell
data_Sc2Sb2Ir
_chemical_formula_sum 'Sc4 Sb4 Ir2'
_cell_length_a 4.345
_cell_length_b 4.345
_cell_length_c 12.554
_cell_angle_alpha 90.00
_cell_angle_beta 90.00
_cell_angle_gamma 90.00
_space_group_name_H-M_alt 'I 4/m m m'
_space_group_IT_number 139
_space_group_name_Hall '-I 4 2'
loop_
_atom_site_label
_atom_site_fract_x
_atom_site_fract_y
_atom_site_fract_z
Sc1 0.000 0.500 0.250
Sb1 0.000 0.000 0.105
Ir1 0.000 0.000 0.500

2.
# Sc2Sb2Ir (GGA-PBE, optimized geometry)
# * M_tot: 0.00 μB per cell
# * volume: 23.69 Å³ per atom
# * crystal system: tetragonal
# * Fermi-level density of states: 6.0 states/eV/cell
data_Sc2Sb2Ir
_chemical_formula_sum 'Sc4 Sb4 Ir2'
_cell_length_a 3.937
_cell_length_b 3.937
_cell_length_c 15.284
_cell_angle_alpha 90.00
_cell_angle_beta 90.00
_cell_angle_gamma 90.00
_space_group_name_H-M_alt 'I 4/m m m'
_space_group_IT_number 139
_space_group_name_Hall '-I 4 2'
loop_
_atom_site_label
_atom_site_fract_x
_atom_site_fract_y
_atom_site_fract_z
Sc1 0.000 0.000 0.094
Sb1 0.000 0.500 0.250
Ir1 0.000 0.000 0.500

What should be chosen as the most stable of them? Choose 2.

1.
# Sc2Sb2Ir (GGA-PBE, optimized geometry)
# * M_tot: 0.00 μB per cell
# * volume: 21.25 Å³ per atom
# * crystal system: tetragonal
# * Fermi-level density of states: 9.1 states/eV/cell
data_Sc2Sb2Ir
_chemical_formula_sum 'Sc4 Sb4 Ir2'
_cell_length_a 6.958
_cell_length_b 6.958
_cell_length_c 4.389
_cell_angle_alpha 90.00
_cell_angle_beta 90.00
_cell_angle_gamma 90.00
_space_group_name_H-M_alt 'P 4/m b m'
_space_group_IT_number 127
_space_group_name_Hall '-P 4 2ab'
loop_
_atom_site_label
_atom_site_fract_x
_atom_site_fract_y
_atom_site_fract_z
Sc1 0.164 0.336 0.000
Sb1 0.148 0.648 0.500
Ir1 0.000 0.000 0.500

2.
# Sc2Sb2Ir (GGA-PBE, optimized geometry)
# * M_tot: 0.00 μB per cell
# * volume: 22.57 Å³ per atom
# * crystal system: tetragonal
# * Fermi-level density of states: 7.5 states/eV/cell
data_Sc2Sb2Ir
_chemical_formula_sum 'Sc4 Sb4 Ir2'
_cell_length_a 7.040
_cell_length_b 7.040
_cell_length_c 4.555
_cell_angle_alpha 90.00
_cell_angle_beta 90.00
_cell_angle_gamma 90.00
_space_group_name_H-M_alt 'P 4/m b m'
_space_group_IT_number 127
_space_group_name_Hall '-P 4 2ab'
loop_
_atom_site_label
_atom_site_fract_x
_atom_site_fract_y
_atom_site_fract_z
Sc1 0.168 0.332 0.000
Sb1 0.148 0.648 0.500
Ir1 0.000 0.000 0.000

What should be chosen as the most stable of them? Choose 1.

1.
# ScSbIr3 (GGA-PBE, optimized geometry)
# * M_tot: 0.00 μB per cell
# * volume: 21.32 Å³ per atom
# * crystal system: cubic
# * Fermi-level density of states: 7.0 states/eV/cell
data_ScSbIr3
_chemical_formula_sum 'Sc1 Sb1 Ir3'
_cell_length_a 4.742
_cell_length_b 4.742
_cell_length_c 4.742
_cell_angle_alpha 90.00
_cell_angle_beta 90.00
_cell_angle_gamma 90.00
_space_group_name_H-M_alt 'P m -3 m'
_space_group_IT_number 221
_space_group_name_Hall '-P 4 2 3'
loop_
_atom_site_label
_atom_site_fract_x
_atom_site_fract_y
_atom_site_fract_z
Sc1 0.000 0.000 0.000
Sb1 0.500 0.500 0.500
Ir1 0.000 0.000 0.500

2.
# ScSbIr3 (GGA-PBE, optimized geometry)
# * M_tot: 0.00 μB per cell
# * volume: 22.38 Å³ per atom
# * crystal system: cubic
# * Fermi-level density of states: 12.8 states/eV/cell
data_ScSbIr3
_chemical_formula_sum 'Sc1 Sb1 Ir3'
_cell_length_a 4.819
_cell_length_b 4.819
_cell_length_c 4.819
_cell_angle_alpha 90.00
_cell_angle_beta 90.00
_cell_angle_gamma 90.00
_space_group_name_H-M_alt 'P m -3 m'
_space_group_IT_number 221
_space_group_name_Hall '-P 4 2 3'
loop_
_atom_site_label
_atom_site_fract_x
_atom_site_fract_y
_atom_site_fract_z
Sc1 0.000 0.000 0.000
Sb1 0.500 0.500 0.500
Ir1 0.000 0.500 0.500

What should be chosen as the most stable of them? Choose 2.

1.
# ScSb2TeIr (GGA-PBE, optimized geometry)
# * M_tot: 0.00 μB per cell
# * volume: 28.72 Å³ per atom
# * crystal system: tetragonal
# * Fermi-level density of states: 6.9 states/eV/cell
data_ScSb2TeIr
_chemical_formula_sum 'Sc1 Sb2 Te1 Ir1'
_cell_length_a 5.079
_cell_length_b 5.079
_cell_length_c 5.569
_cell_angle_alpha 90.00
_cell_angle_beta 90.00
_cell_angle_gamma 90.00
_space_group_name_H-M_alt 'P 4/m m m'
_space_group_IT_number 123
_space_group_name_Hall '-P 4 2'
loop_
_atom_site_label
_atom_site_fract_x
_atom_site_fract_y
_atom_site_fract_z
Sc1 0.000 0.000 0.000
Sb1 0.000 0.500 0.500
Te1 0.500 0.500 0.000
Ir1 0.500 0.500 0.500

2.
# ScSb2TeIr (GGA-PBE, optimized geometry)
# * M_tot: 0.59 μB per cell
# * volume: 30.14 Å³ per atom
# * crystal system: tetragonal
# * Fermi-level density of states: 5.8 states/eV/cell
data_ScSb2TeIr
_chemical_formula_sum 'Sc1 Sb2 Te1 Ir1'
_cell_length_a 5.341
_cell_length_b 5.341
_cell_length_c 5.283
_cell_angle_alpha 90.00
_cell_angle_beta 90.00
_cell_angle_gamma 90.00
_space_group_name_H-M_alt 'P 4/m m m'
_space_group_IT_number 123
_space_group_name_Hall '-P 4 2'
loop_
_atom_site_label
_atom_site_fract_x
_atom_site_fract_y
_atom_site_fract_z
Sc1 0.000 0.000 0.000
Sb1 0.000 0.500 0.000
Te1 0.000 0.000 0.500
Ir1 0.500 0.500 0.500

What should be chosen as the most stable of them? Choose 1.